(1)
This record from the Alexandria database describes a relaxed TlSn2SbBr crystal. The functional is PBE-GGA.

Output
- Mass density: 5.9 Mg/m³
- Magnetic moment: 0.00 μB/cell
- E_tot: -2.7011 eV per atom
- Raw formation energy: 2.7 eV/f.u.

CIF file:
```
data_TlSn2SbBr
_chemical_formula_sum 'Tl1 Sn2 Sb1 Br1'
_cell_length_a 5.7824
_cell_length_b 5.7824
_cell_length_c 5.4405
_cell_angle_alpha 90.00
_cell_angle_beta 90.00
_cell_angle_gamma 90.00
_space_group_name_H-M_alt 'P 4/m m m'
_space_group_IT_number 123
_space_group_name_Hall '-P 4 2'
loop_
_atom_site_label
_atom_site_type_symbol
_atom_site_fract_x
_atom_site_fract_y
_atom_site_fract_z
Tl1 Tl 0.0000 0.0000 0.0000
Sn1 Sn 0.0000 0.5000 0.0000
Sb1 Sb 0.5000 0.5000 0.5000
Br1 Br 0.0000 0.0000 0.5000
```

(2)
This record from the Alexandria database describes a relaxed NaNb2CdBi crystal. The functional is PBE-GGA.

Output
- Energy of formation: 1546 meV per atom
- Mass density: 5.4 Mg/m³
- Magnetic moment: 5.89 μB/cell
- E_tot: -3.7052 eV per atom

CIF file:
```
data_NaNb2CdBi
_chemical_formula_sum 'Na1 Nb2 Cd1 Bi1'
_cell_length_a 5.3453
_cell_length_b 5.3453
_cell_length_c 5.6645
_cell_angle_alpha 90.00
_cell_angle_beta 90.00
_cell_angle_gamma 90.00
_space_group_name_H-M_alt 'P 4/m m m'
_space_group_IT_number 123
_space_group_name_Hall '-P 4 2'
loop_
_atom_site_label
_atom_site_type_symbol
_atom_site_fract_x
_atom_site_fract_y
_atom_site_fract_z
Na1 Na 0.0000 0.0000 0.0000
Nb1 Nb 0.0000 0.5000 0.5000
Cd1 Cd 0.5000 0.5000 0.5000
Bi1 Bi 0.5000 0.5000 0.0000
```

(3)
This record from the Alexandria database describes a relaxed Dy6SnSb3 crystal. The functional is PBE-GGA.

Output
- Mass density: 7.8 Mg/m³
- Magnetic moment: 5.15 μB/cell
- E_tot: -5.0921 eV per atom
- Raw formation energy: -6.9 eV/f.u.

CIF file:
```
data_Dy6SnSb3
_chemical_formula_sum 'Dy24 Sn4 Sb12'
_cell_length_a 11.0099
_cell_length_b 14.8761
_cell_length_c 7.5979
_cell_angle_alpha 90.00
_cell_angle_beta 90.00
_cell_angle_gamma 90.00
_space_group_name_H-M_alt 'C m c 21'
_space_group_IT_number 36
_space_group_name_Hall 'C 2c -2'
loop_
_atom_site_label
_atom_site_type_symbol
_atom_site_fract_x
_atom_site_fract_y
_atom_site_fract_z
Dy1 Dy 0.0000 0.0052 0.0000
Dy2 Dy 0.0000 0.2495 0.8736
Dy3 Dy 0.1769 0.4483 0.8881
Dy4 Dy 0.1924 0.2750 0.4921
Sn1 Sn 0.0000 0.1698 0.2484
Sb1 Sb 0.0000 0.4197 0.5817
Sb2 Sb 0.1829 0.1016 0.7253
```

(4)
This record from the Alexandria database describes a relaxed Ca2RePt2 crystal. The functional is PBE-GGA.

Output
- Energy of formation: -328 meV per atom
- Mass density: 10.3 Mg/m³
- Magnetic moment: 0.00 μB/cell
- E_tot: -6.0343 eV per atom

CIF file:
```
data_Ca2RePt2
_chemical_formula_sum 'Ca4 Re2 Pt4'
_cell_length_a 6.7112
_cell_length_b 6.7112
_cell_length_c 4.6826
_cell_angle_alpha 90.00
_cell_angle_beta 90.00
_cell_angle_gamma 90.00
_space_group_name_H-M_alt 'P 4/m b m'
_space_group_IT_number 127
_space_group_name_Hall '-P 4 2ab'
loop_
_atom_site_label
_atom_site_type_symbol
_atom_site_fract_x
_atom_site_fract_y
_atom_site_fract_z
Ca1 Ca 0.1762 0.3238 0.0000
Re1 Re 0.0000 0.0000 0.5000
Pt1 Pt 0.1416 0.6416 0.5000
```

(5)
This record from the Alexandria database describes a relaxed CoCu4H6 crystal. The functional is PBE-GGA.

Output
- Mass density: 6.2 Mg/m³
- Magnetic moment: 0.00 μB/cell
- E_tot: -3.8307 eV per atom

CIF file:
```
data_CoCu4H6
_chemical_formula_sum 'Co4 Cu16 H24'
_cell_length_a 8.8899
_cell_length_b 4.6119
_cell_length_c 8.9026
_cell_angle_alpha 90.00
_cell_angle_beta 110.71
_cell_angle_gamma 90.00
_space_group_name_H-M_alt 'C 1 c 1'
_space_group_IT_number 9
_space_group_name_Hall 'C -2yc'
loop_
_atom_site_label
_atom_site_type_symbol
_atom_site_fract_x
_atom_site_fract_y
_atom_site_fract_z
Co1 Co 0.0000 0.1802 0.0000
Cu1 Cu 0.0761 0.1490 0.7494
Cu2 Cu 0.2497 0.1458 0.5626
Cu3 Cu 0.2497 0.3058 0.2622
Cu4 Cu 0.3861 0.1812 0.9158
H1 H 0.0493 0.0865 0.4095
H2 H 0.1830 0.2648 0.0613
H3 H 0.2483 0.3240 0.7469
H4 H 0.4120 0.4871 0.0885
H5 H 0.4555 0.0565 0.5921
H6 H 0.4872 0.1146 0.3508
```

(6)
This record from the Alexandria database describes a relaxed Pm2TiGe3Rh4 crystal. The functional is PBE-GGA.

Output
- Energy of formation: -887 meV per atom
- Mass density: 8.7 Mg/m³
- Magnetic moment: 0.00 μB/cell
- E_tot: -6.9527 eV per atom

CIF file:
```
data_Pm2TiGe3Rh4
_chemical_formula_sum 'Pm2 Ti1 Ge3 Rh4'
_cell_length_a 4.1498
_cell_length_b 4.1498
_cell_length_c 10.6898
_cell_angle_alpha 90.00
_cell_angle_beta 90.00
_cell_angle_gamma 90.00
_space_group_name_H-M_alt 'P -4 m 2'
_space_group_IT_number 115
_space_group_name_Hall 'P -4 -2'
loop_
_atom_site_label
_atom_site_type_symbol
_atom_site_fract_x
_atom_site_fract_y
_atom_site_fract_z
Pm1 Pm 0.0000 0.5000 0.2425
Ti1 Ti 0.0000 0.0000 0.5000
Ge1 Ge 0.0000 0.5000 0.8719
Ge2 Ge 0.5000 0.5000 0.5000
Rh1 Rh 0.0000 0.0000 0.0000
Rh2 Rh 0.0000 0.5000 0.6393
Rh3 Rh 0.5000 0.5000 0.0000
```

(7)
This record from the Alexandria database describes a relaxed Be2AlV2 crystal. The functional is PBE-GGA.

Output
- Energy of formation: -124 meV per atom
- Mass density: 4.2 Mg/m³
- Magnetic moment: 0.00 μB/cell
- E_tot: -6.0104 eV per atom

CIF file:
```
data_Be2AlV2
_chemical_formula_sum 'Be4 Al2 V4'
_cell_length_a 5.9629
_cell_length_b 5.9629
_cell_length_c 3.2584
_cell_angle_alpha 90.00
_cell_angle_beta 90.00
_cell_angle_gamma 90.00
_space_group_name_H-M_alt 'P 4/m b m'
_space_group_IT_number 127
_space_group_name_Hall '-P 4 2ab'
loop_
_atom_site_label
_atom_site_type_symbol
_atom_site_fract_x
_atom_site_fract_y
_atom_site_fract_z
Be1 Be 0.1196 0.3804 0.0000
Al1 Al 0.0000 0.0000 0.0000
V1 V 0.1738 0.6738 0.5000
```

(8)
This record from the Alexandria database describes a relaxed TiNiPCl2 crystal. The functional is PBE-GGA.

Output
- Mass density: 3.2 Mg/m³
- Magnetic moment: 1.43 μB/cell
- E_tot: -4.5309 eV per atom
- Raw formation energy: 0.1 eV/f.u.

CIF file:
```
data_TiNiPCl2
_chemical_formula_sum 'Ti1 Ni1 P1 Cl2'
_cell_length_a 4.6134
_cell_length_b 4.6134
_cell_length_c 5.0502
_cell_angle_alpha 90.00
_cell_angle_beta 90.00
_cell_angle_gamma 90.00
_space_group_name_H-M_alt 'P 4/m m m'
_space_group_IT_number 123
_space_group_name_Hall '-P 4 2'
loop_
_atom_site_label
_atom_site_type_symbol
_atom_site_fract_x
_atom_site_fract_y
_atom_site_fract_z
Ti1 Ti 0.0000 0.0000 0.0000
Ni1 Ni 0.5000 0.5000 0.5000
P1 P 0.0000 0.0000 0.5000
Cl1 Cl 0.0000 0.5000 0.0000
```

(9)
This record from the Alexandria database describes a relaxed La2CuOs2 crystal. The functional is PBE-GGA.

Output
- Energy of formation: 137 meV per atom
- Mass density: 11.0 Mg/m³
- Magnetic moment: 0.00 μB/cell
- E_tot: -7.1448 eV per atom

CIF file:
```
data_La2CuOs2
_chemical_formula_sum 'La4 Cu2 Os4'
_cell_length_a 6.8638
_cell_length_b 6.8638
_cell_length_c 4.6344
_cell_angle_alpha 90.00
_cell_angle_beta 90.00
_cell_angle_gamma 90.00
_space_group_name_H-M_alt 'P 4/m b m'
_space_group_IT_number 127
_space_group_name_Hall '-P 4 2ab'
loop_
_atom_site_label
_atom_site_type_symbol
_atom_site_fract_x
_atom_site_fract_y
_atom_site_fract_z
La1 La 0.1831 0.3169 0.0000
Cu1 Cu 0.0000 0.0000 0.5000
Os1 Os 0.1264 0.6264 0.5000
```

(10)
This record from the Alexandria database describes a relaxed Pm2SmDy6Er crystal. The functional is PBE-GGA.

Output
- Energy of formation: 116 meV per atom
- Mass density: 8.1 Mg/m³
- Magnetic moment: 0.00 μB/cell
- E_tot: -4.5234 eV per atom

CIF file:
```
data_Pm2SmDy6Er
_chemical_formula_sum 'Pm8 Sm4 Dy24 Er4'
_cell_length_a 9.0405
_cell_length_b 15.0560
_cell_length_c 9.6701
_cell_angle_alpha 90.00
_cell_angle_beta 98.52
_cell_angle_gamma 90.00
_space_group_name_H-M_alt 'C 1 2/c 1'
_space_group_IT_number 15
_space_group_name_Hall '-C 2yc'
loop_
_atom_site_label
_atom_site_type_symbol
_atom_site_fract_x
_atom_site_fract_y
_atom_site_fract_z
Pm1 Pm 0.2472 0.0514 0.0431
Sm1 Sm 0.0000 0.0194 0.7500
Dy1 Dy 0.0658 0.1897 0.4430
Dy2 Dy 0.1004 0.3938 0.6194
Dy3 Dy 0.2042 0.2237 0.8137
Er1 Er 0.0000 0.4077 0.2500
```

(11)
This record from the Alexandria database describes a relaxed Ti3Co2Au crystal. The functional is PBE-GGA.

Output
- Energy of formation: -369 meV per atom
- Mass density: 8.8 Mg/m³
- Magnetic moment: 1.83 μB/cell
- E_tot: -7.2316 eV per atom

CIF file:
```
data_Ti3Co2Au
_chemical_formula_sum 'Ti3 Co2 Au1'
_cell_length_a 2.9083
_cell_length_b 2.9083
_cell_length_c 10.2839
_cell_angle_alpha 90.00
_cell_angle_beta 90.00
_cell_angle_gamma 90.00
_space_group_name_H-M_alt 'P 4/m m m'
_space_group_IT_number 123
_space_group_name_Hall '-P 4 2'
loop_
_atom_site_label
_atom_site_type_symbol
_atom_site_fract_x
_atom_site_fract_y
_atom_site_fract_z
Ti1 Ti 0.0000 0.0000 0.0000
Ti2 Ti 0.0000 0.0000 0.3010
Co1 Co 0.5000 0.5000 0.1445
Au1 Au 0.5000 0.5000 0.5000
```

(12)
This record from the Alexandria database describes a relaxed YHoTh2 crystal. The functional is PBE-GGA.

Output
- Energy of formation: 141 meV per atom
- Mass density: 9.3 Mg/m³
- Magnetic moment: 0.00 μB/cell
- E_tot: -6.3289 eV per atom

CIF file:
```
data_YHoTh2
_chemical_formula_sum 'Y4 Ho4 Th8'
_cell_length_a 8.0005
_cell_length_b 8.0005
_cell_length_c 8.0005
_cell_angle_alpha 90.00
_cell_angle_beta 90.00
_cell_angle_gamma 90.00
_space_group_name_H-M_alt 'F m -3 m'
_space_group_IT_number 225
_space_group_name_Hall '-F 4 2 3'
loop_
_atom_site_label
_atom_site_type_symbol
_atom_site_fract_x
_atom_site_fract_y
_atom_site_fract_z
Y1 Y 0.0000 0.0000 0.0000
Ho1 Ho 0.0000 0.0000 0.5000
Th1 Th 0.2500 0.2500 0.2500
```